Record 1
TbAsSe: relaxed, PBE.

abc: 3.922 3.969 17.613
angles: 90.00 90.00 90.00
Fractional coordinates of all 12 atoms:
1 As 0.750 0.289 0.002
2 As 0.250 0.711 0.998
3 As 0.750 0.211 0.502
4 As 0.250 0.789 0.498
5 Se 0.750 0.763 0.312
6 Se 0.250 0.263 0.188
7 Se 0.750 0.737 0.812
8 Se 0.250 0.237 0.688
9 Tb 0.250 0.234 0.860
10 Tb 0.750 0.766 0.140
11 Tb 0.750 0.734 0.640
12 Tb 0.250 0.266 0.360

Results
Its space group is No. 62. As for the raw total energy: -5.71 eV per atom. The formation energy (no corrections) comes out at -1.455 eV per atom. The total magnetic moment is 0.00 Bohr magnetons per cell.

=====

Record 2
Tb3AsSe3: relaxed, PBE.

abc: 8.503 8.503 7.691
angles: 56.44 56.44 60.00
Fractional coordinates of all 14 atoms:
1 Se 0.358 0.818 0.719
2 Se 0.182 0.894 0.281
3 Se 0.106 0.358 0.719
4 Se 0.818 0.106 0.719
5 Se 0.894 0.642 0.281
6 Se 0.642 0.182 0.281
7 As 0.663 0.663 0.010
8 As 0.337 0.337 0.990
9 Tb 0.706 0.467 0.762
10 Tb 0.294 0.533 0.238
11 Tb 0.467 0.065 0.762
12 Tb 0.533 0.935 0.238
13 Tb 0.935 0.294 0.238
14 Tb 0.065 0.706 0.762

Results
Its space group is No. 148. As for the raw total energy: -5.80 eV per atom. The formation energy (no corrections) comes out at -1.662 eV per atom. The total magnetic moment is 0.00 Bohr magnetons per cell.

=====

Record 3
Tb5AsSe4: relaxed, PBE.

abc: 4.103 4.103 14.813
angles: 97.96 97.96 90.00
Fractional coordinates of all 10 atoms:
1 Se 0.601 0.601 0.202
2 Se 0.802 0.802 0.603
3 Se 0.198 0.198 0.397
4 Se 0.399 0.399 0.798
5 Tb 0.098 0.098 0.195
6 Tb 0.298 0.298 0.596
7 Tb 0.902 0.902 0.805
8 Tb 0.702 0.702 0.404
9 Tb 0.500 0.500 0.000
10 As 0.000 0.000 0.000

Results
Its space group is No. 139. For the density of states at the Fermi level, the calculation gives 4.690 states/eV per cell. As for the raw total energy: -5.93 eV per atom. The formation energy (no corrections) comes out at -1.752 eV per atom. The total magnetic moment is 0.00 Bohr magnetons per cell.

=====

Record 4
Tb6As5Se: relaxed, PBE.

abc: 7.161 7.160 7.156
angles: 59.98 80.41 70.55
Fractional coordinates of all 12 atoms:
1 As 0.500 0.835 0.330
2 As 0.500 0.165 0.670
3 As 0.000 0.667 0.666
4 As 0.000 0.333 0.334
5 As 0.500 0.500 0.000
6 Tb 0.253 0.577 0.339
7 Tb 0.747 0.746 0.000
8 Tb 0.253 0.254 0.000
9 Tb 0.747 0.423 0.661
10 Tb 0.747 0.084 0.339
11 Tb 0.253 0.916 0.661
12 Se 0.000 0.000 0.000

Results
Its space group is No. 12. For the density of states at the Fermi level, the calculation gives 2.534 states/eV per cell. As for the raw total energy: -6.17 eV per atom. The formation energy (no corrections) comes out at -1.628 eV per atom. The total magnetic moment is 0.00 Bohr magnetons per cell.

=====

Number 3 is which compound?
Tb5AsSe4

=====

What is the formation energy (no corrections) in the first record?
-1.455 eV per atom

=====

Look up the total magnetic moment of the fourth one.
0.00 Bohr magnetons per cell